1.
The following is a PBE-GGA calculation of a relaxed structure of Ac8InRu2, from the Alexandria database.

POSCAR file:
```
Ac8InRu2
1.0
6.0379 0.1999 -0.9226
-1.9512 7.7276 -3.4255
0.1612 -0.2511 8.6699
Ac Ru In
8 2 1
direct
0.2008 0.3939 0.3939
0.5651 0.0801 0.3387
0.4348 0.6674 0.9260
0.7988 0.6119 0.6119
0.4348 0.9260 0.6674
0.0000 0.7581 0.2479
0.0000 0.2479 0.7581
0.5651 0.3387 0.0801
0.5004 0.7148 0.2922
0.5004 0.2922 0.7148
0.9995 0.0029 0.0029
```

energy above the lowest structure with this stoichiometry	20.1	meV/atom
E_form	-93	meV per atom
DOS(E_F)	11.892	states/eV per cell

***

2.
The following is a PBE-GGA calculation of a relaxed structure of AcIn2Ru, from the Alexandria database.

POSCAR file:
```
AcIn2Ru
1.0
5.9127 0.0000 0.0000
0.0000 8.2614 0.0000
0.0000 0.0000 16.3173
Ac In Ru
8 16 8
direct
0.7428 0.2500 0.9006
0.7572 0.2500 0.4006
0.5548 0.7500 0.8607
0.2572 0.7500 0.0994
0.2428 0.7500 0.5994
0.4452 0.2500 0.1393
0.0548 0.2500 0.6393
0.9452 0.7500 0.3607
0.0529 0.5466 0.7898
0.2641 0.4446 0.4577
0.0529 0.9534 0.7898
0.9471 0.0466 0.2102
0.4471 0.9534 0.2898
0.7359 0.9446 0.5423
0.4471 0.5466 0.2898
0.2359 0.4446 0.9577
0.5529 0.4534 0.7102
0.5529 0.0466 0.7102
0.7641 0.9446 0.0423
0.7359 0.5554 0.5423
0.9471 0.4534 0.2102
0.2641 0.0554 0.4577
0.2359 0.0554 0.9577
0.7641 0.5554 0.0423
0.2987 0.2500 0.8123
0.9849 0.2500 0.0707
0.0151 0.7500 0.9293
0.7987 0.7500 0.6877
0.5151 0.2500 0.5707
0.7013 0.7500 0.1877
0.4849 0.7500 0.4293
0.2013 0.2500 0.3123
```

energy above the lowest structure with this stoichiometry	0.0	meV/atom
E_form	-308	meV per atom
DOS(E_F)	19.995	states/eV per cell

***

3.
The following is a PBE-GGA calculation of a relaxed structure of Ac5In2Ru2, from the Alexandria database.

POSCAR file:
```
Ac5In2Ru2
1.0
-2.4832 5.7344 -3.1855
1.9065 -4.2585 -9.1521
-8.0265 -2.2357 -0.6317
Ac Ru In
10 4 4
direct
0.0870 0.3604 0.7888
0.0285 0.2914 0.3187
0.5285 0.2086 0.3187
0.0000 0.0000 0.0000
0.9715 0.7086 0.6813
0.4130 0.8604 0.2112
0.5000 0.5000 0.0000
0.4715 0.7914 0.6813
0.5870 0.1396 0.7888
0.9130 0.6396 0.2112
0.8044 0.2532 0.0361
0.1956 0.7468 0.9639
0.3043 0.2468 0.0361
0.6957 0.7532 0.9639
0.1613 0.0454 0.5787
0.8387 0.9546 0.4213
0.6613 0.4546 0.5787
0.3387 0.5454 0.4213
```

E_form	-215	meV per atom
DOS(E_F)	11.687	states/eV per cell

***

4.
The following is a PBE-GGA calculation of a relaxed structure of Ac4InRu, from the Alexandria database.

POSCAR file:
```
Ac4InRu
1.0
-7.7431 6.0745 -3.6951
-7.9670 -4.3063 -5.3378
-9.5719 -0.4772 4.3199
Ac In Ru
16 4 4
direct
0.5588 0.5588 0.9412
0.4041 0.4041 0.7876
0.9412 0.5588 0.5588
0.9412 0.5588 0.9412
0.5588 0.9412 0.9412
0.9412 0.9412 0.5588
0.4041 0.7876 0.4041
0.8096 0.8096 0.1904
0.8096 0.1904 0.1904
0.8096 0.1904 0.8096
0.1904 0.8096 0.1904
0.4041 0.4041 0.4041
0.5588 0.9412 0.5588
0.1904 0.1904 0.8096
0.7876 0.4041 0.4041
0.1904 0.8096 0.8096
0.1716 0.4851 0.1716
0.4851 0.1716 0.1716
0.1716 0.1716 0.1716
0.1716 0.1716 0.4851
0.1621 0.6126 0.6126
0.6126 0.1621 0.6126
0.6126 0.6126 0.1621
0.6126 0.6126 0.6126
```

energy above the lowest structure with this stoichiometry	0.0	meV/atom
E_form	-274	meV per atom
DOS(E_F)	16.618	states/eV per cell

***

5.
The following is a PBE-GGA calculation of a relaxed structure of Ac2InRu, from the Alexandria database.

POSCAR file:
```
Ac2InRu
1.0
3.9660 0.0000 0.0000
0.0000 5.4601 0.0000
0.0000 0.0000 5.4601
Ac Ru In
2 1 1
direct
0.0000 0.0000 0.5000
0.0000 0.5000 0.0000
0.5000 0.0000 0.0000
0.5000 0.5000 0.5000
```

energy above the lowest structure with this stoichiometry	192.7	meV/atom
E_form	-42	meV per atom
DOS(E_F)	3.268	states/eV per cell

***

6.
The following is a PBE-GGA calculation of a relaxed structure of Ac4In2Ru, from the Alexandria database.

POSCAR file:
```
Ac4In2Ru
1.0
-2.6711 -6.8896 -1.2682
7.0177 -2.7856 0.3522
1.6216 -2.2035 8.5556
Ac Ru In
8 2 4
direct
0.4883 0.1297 0.1849
0.7500 0.7127 0.4319
0.7500 0.3341 0.8216
0.9883 0.8703 0.8151
0.2500 0.6659 0.1784
0.5117 0.8703 0.8151
0.0117 0.1297 0.1849
0.2500 0.2873 0.5681
0.2500 0.1046 0.9006
0.7500 0.8954 0.0994
0.2500 0.7883 0.5125
0.2500 0.4771 0.8705
0.7500 0.2117 0.4875
0.7500 0.5229 0.1295
```

energy above the lowest structure with this stoichiometry	0.0	meV/atom
E_form	-265	meV per atom
DOS(E_F)	12.972	states/eV per cell

***

7.
The following is a PBE-GGA calculation of a relaxed structure of Ac4InRu, from the Alexandria database.

POSCAR file:
```
Ac4InRu
1.0
-3.3791 -5.8783 -2.9324
7.9976 -1.8041 -1.1020
-2.1504 0.2066 9.1201
Ac In Ru
8 2 2
direct
0.9659 0.1877 0.9173
0.2047 0.3657 0.4184
0.7137 0.0527 0.4184
0.5485 0.2703 0.0827
0.4515 0.7297 0.9173
0.2863 0.9473 0.5816
0.7953 0.6343 0.5816
0.0341 0.8123 0.0827
0.6314 0.3814 0.7627
0.3686 0.6186 0.2373
0.1686 0.9186 0.8373
0.8314 0.0814 0.1627
```

energy above the lowest structure with this stoichiometry	94.5	meV/atom
E_form	-180	meV per atom
DOS(E_F)	11.386	states/eV per cell

***

8.
The following is a PBE-GGA calculation of a relaxed structure of Ac11In9Ru4, from the Alexandria database.

POSCAR file:
```
Ac11In9Ru4
1.0
4.1234 0.0000 0.0000
0.0000 12.7820 -5.3592
0.0000 0.0951 13.8597
Ac In Ru
11 9 4
direct
0.0000 0.6235 0.3765
0.0000 0.0813 0.4177
0.0000 0.1644 0.8356
0.0000 0.5823 0.9187
0.0000 0.3765 0.6235
0.0000 0.0000 0.0000
0.0000 0.8356 0.1644
0.0000 0.6845 0.6845
0.0000 0.9187 0.5823
0.0000 0.4177 0.0813
0.0000 0.3155 0.3155
0.5000 0.3676 0.8336
0.5000 0.9173 0.7792
0.5000 0.1664 0.6324
0.5000 0.8336 0.3676
0.5000 0.0827 0.2208
0.5000 0.2208 0.0827
0.5000 0.5000 0.5000
0.5000 0.7792 0.9173
0.5000 0.6324 0.1664
0.5000 0.4479 0.2412
0.5000 0.7588 0.5521
0.5000 0.5521 0.7588
0.5000 0.2412 0.4479
```

E_form	-353	meV per atom
DOS(E_F)	19.638	states/eV per cell

***

9.
The following is a PBE-GGA calculation of a relaxed structure of Ac5In2Ru, from the Alexandria database.

POSCAR file:
```
Ac5In2Ru
1.0
-1.5055 -0.3737 -4.7433
5.7386 -6.6123 -1.3004
-9.1623 -8.6576 3.5902
Ac Ru In
10 2 4
direct
0.0000 0.8616 0.1991
0.0000 0.3616 0.3009
0.0000 0.0000 0.5000
0.0000 0.1384 0.8009
0.5000 0.1817 0.0698
0.0000 0.5000 0.0000
0.5000 0.3183 0.5698
0.0000 0.6384 0.6991
0.5000 0.8183 0.9302
0.5000 0.6817 0.4302
0.0000 0.0000 0.0000
0.0000 0.5000 0.5000
0.5000 0.4268 0.8312
0.5000 0.9268 0.6688
0.5000 0.5732 0.1688
0.5000 0.0732 0.3312
```

energy above the lowest structure with this stoichiometry	0.0	meV/atom
E_form	-302	meV per atom
DOS(E_F)	17.806	states/eV per cell

***

10.
The following is a PBE-GGA calculation of a relaxed structure of Ac5InRu, from the Alexandria database.

POSCAR file:
```
Ac5InRu
1.0
7.2578 0.5162 -0.0089
2.7921 6.7191 -0.0089
3.6690 2.6415 11.4388
Ac Ru In
10 2 2
direct
0.7909 0.4434 0.4585
0.2091 0.5566 0.5415
0.0304 0.3906 0.8675
0.9727 0.0273 0.2500
0.3906 0.0304 0.3675
0.9696 0.6094 0.1325
0.5566 0.2091 0.0415
0.0273 0.9727 0.7500
0.6094 0.9696 0.6325
0.4434 0.7909 0.9585
0.0000 0.0000 0.0000
0.0000 0.0000 0.5000
0.5155 0.4845 0.7500
0.4845 0.5155 0.2500
```

energy above the lowest structure with this stoichiometry	0.0	meV/atom
E_form	-120	meV per atom
DOS(E_F)	15.056	states/eV per cell

***

11.
The following is a PBE-GGA calculation of a relaxed structure of Ac4In5Ru2, from the Alexandria database.

POSCAR file:
```
Ac4In5Ru2
1.0
-1.7251 3.2355 1.8935
-1.5529 -4.5215 6.3111
9.0519 2.7842 3.4894
In Ru Ac
5 2 4
direct
0.0000 0.1832 0.1593
0.0000 0.5000 0.0000
0.0000 0.8168 0.8407
0.0000 0.4437 0.6809
0.0000 0.5563 0.3191
0.0000 0.0719 0.6436
0.0000 0.9281 0.3564
0.5000 0.7780 0.5541
0.5000 0.1709 0.8475
0.5000 0.2220 0.4459
0.5000 0.8291 0.1525
```

E_form	-290	meV per atom
DOS(E_F)	8.808	states/eV per cell

***

12.
The following is a PBE-GGA calculation of a relaxed structure of Ac12In5Ru2, from the Alexandria database.

POSCAR file:
```
Ac12In5Ru2
1.0
-3.3908 -2.7597 7.4219
1.3400 -7.2459 -7.0807
9.3539 1.0495 4.6637
Ac Ru In
12 2 5
direct
0.5776 0.6758 0.9132
0.5002 0.0005 0.2062
0.9049 0.3031 0.5754
0.9019 0.3242 0.0868
0.0951 0.6969 0.4246
0.9960 0.9920 0.1840
0.0981 0.6758 0.9132
0.4998 0.9995 0.7938
0.6018 0.6969 0.4246
0.0040 0.0080 0.8160
0.4224 0.3242 0.0868
0.3982 0.3031 0.5754
0.7468 0.0000 0.0000
0.2532 0.0000 0.0000
0.0000 0.0000 0.5000
0.6961 0.3922 0.3615
0.6911 0.3822 0.8384
0.3039 0.6078 0.6385
0.3089 0.6178 0.1616
```

E_form	-152	meV per atom
DOS(E_F)	18.249	states/eV per cell